(1)
A relaxed structure of Nd2ZnRu. Source: Alexandria, functional PBE.

abc: 3.571 3.571 7.376
angles: 90.00 90.00 90.00
Element x y z (fractional)
1 Nd 0.000 0.000 0.766
2 Zn 0.500 0.500 0.500
3 Nd 0.000 0.000 0.234
4 Ru 0.500 0.500 0.000

Size of the total moment ... 0.000 μB/atom
Energy ... -5.246 eV/atom
Calculated volume ... 94.04 Å³/cell
Formation energy from the elements ... -225 meV/atom

=====

(2)
A relaxed structure of TlAgSb2. Source: Alexandria, functional PBE.

abc: 5.714 5.714 5.714
angles: 130.52 130.52 72.57
Element x y z (fractional)
1 Sb 0.250 0.750 0.500
2 Ag 0.750 0.250 0.500
3 Sb 0.000 0.000 0.000
4 Tl 0.500 0.500 0.000

Formation energy from raw total energies ... 213 meV per atom
Size of the total moment ... 0.000 μB/atom
Energy ... -3.152 eV/atom
Calculated volume ... 105.31 Å³/cell

=====

(3)
A relaxed structure of NaMg2Hg6. Source: Alexandria, functional PBE.

abc: 4.602 11.013 11.013
angles: 53.51 88.99 88.99
Element x y z (fractional)
1 Mg 0.178 0.195 0.472
2 Hg 0.695 0.124 0.355
3 Hg 0.706 0.225 0.007
4 Hg 0.841 0.468 0.676
5 Mg 0.322 0.528 0.805
6 Hg 0.305 0.876 0.645
7 Hg 0.206 0.007 0.225
8 Hg 0.341 0.676 0.468
9 Hg 0.294 0.775 0.993
10 Mg 0.678 0.472 0.195
11 Hg 0.159 0.532 0.324
12 Na 0.250 0.169 0.831
13 Hg 0.794 0.993 0.775
14 Mg 0.822 0.805 0.528
15 Na 0.750 0.831 0.169
16 Hg 0.195 0.355 0.124
17 Hg 0.805 0.645 0.876
18 Hg 0.659 0.324 0.532

Size of the total moment ... 0.000 μB/atom
Energy ... -0.841 eV/atom
Calculated volume ... 448.67 Å³/cell
Formation energy from the elements ... -139 meV/atom

=====

What is the calculated volume in the first record? 94.04 Å³/cell